1.
Here is a relaxed structure of Ag2Te2Br from Alexandria. Energies are from GGA-PBE. Values from VASP.

Calculated values
- D(E_F) (states/eV per atom) = 0.54
- calculated density (kg/m3) = 7167
- polymorph energy (0 for the lowest one) (eV/atom) = 0.197
- raw formation energy (kJ per mole of atoms) = 9.2
- crystal system = tetragonal
- electronic total energy (eV/cell) = -26.4

Cell and atoms, written as Quantum ESPRESSO input:
```
&SYSTEM
  ibrav = 0, nat = 10, ntyp = 3
/
ATOMIC_SPECIES
Ag 107.87 Ag.upf
Te 127.60 Te.upf
Br 79.90 Br.upf
CELL_PARAMETERS angstrom
9.0100 0.0000 0.0000
0.0000 9.0100 0.0000
0.0000 0.0000 3.1441
ATOMIC_POSITIONS crystal
Ag 0.1465 0.3535 0.0000
Ag 0.3535 0.8535 0.0000
Ag 0.6465 0.1465 0.0000
Ag 0.8535 0.6465 0.0000
Te 0.1499 0.6499 0.5000
Te 0.3501 0.1499 0.5000
Te 0.6499 0.8501 0.5000
Te 0.8501 0.3501 0.5000
Br 0.0000 0.0000 0.5000
Br 0.5000 0.5000 0.5000
```

2.
Here is a relaxed structure of ZrTlAu2 from Alexandria. Energies are from GGA-PBE. Values from VASP.

Calculated values
- formation energy from the elements (meV per atom) = -275.6
- D(E_F) (states/eV per atom) = 0.68
- calculated density (kg/m3) = 13277
- crystal system = tetragonal
- electronic total energy (eV/cell) = -18.6

Cell and atoms, written as Quantum ESPRESSO input:
```
&SYSTEM
  ibrav = 0, nat = 4, ntyp = 3
/
ATOMIC_SPECIES
Zr 91.22 Zr.upf
Tl 204.38 Tl.upf
Au 196.97 Au.upf
CELL_PARAMETERS angstrom
3.3058 0.0000 0.0000
0.0000 3.3058 0.0000
0.0000 0.0000 7.8916
ATOMIC_POSITIONS crystal
Zr 0.0000 0.0000 0.0000
Tl 0.0000 0.0000 0.5000
Au 0.5000 0.5000 0.2260
Au 0.5000 0.5000 0.7740
```

3.
Here is a relaxed structure of UFe2H from Alexandria. Energies are from GGA-PBE. Values from VASP.

Calculated values
- D(E_F) (states/eV per atom) = 0.60
- calculated density (kg/m3) = 10193
- crystal system = trigonal
- electronic total energy (eV/cell) = -30.5

Cell and atoms, written as Quantum ESPRESSO input:
```
&SYSTEM
  ibrav = 0, nat = 4, ntyp = 3
/
ATOMIC_SPECIES
U 238.03 U.upf
Fe 55.84 Fe.upf
H 1.01 H.upf
CELL_PARAMETERS angstrom
2.0670 1.1934 3.8606
-2.0670 1.1934 3.8606
0.0000 -2.3868 3.8606
ATOMIC_POSITIONS crystal
U 0.0000 0.0000 0.0000
Fe 0.3667 0.3667 0.3667
Fe 0.6333 0.6333 0.6333
H 0.5000 0.5000 0.5000
```